# BaLaSe

A relaxed BaLaSe crystal (GGA-PBE, Alexandria).

Lattice parameters (Å, degrees): 4.3092 4.3092 7.4970 90.00 90.00 120.00
Last column: nearest neighbours and their distance in Å.
Sites, in units of the cell vectors:
Ba1 0.0000 0.0000 0.9321  3 Se 3.28
La1 0.6667 0.3333 0.4201  3 Se 3.02
Se1 0.3333 0.6667 0.6478  3 La 3.02, 3 Ba 3.28

Properties
Total magnetization = 0.97 μB/cell
Formation energy without anion corrections = -1138 meV per atom
Calculated volume = 40.19 A^3/atom
Energy relative to the lowest polymorph listed for this composition = 0 meV per atom

# Ba3LaSe

A relaxed Ba3LaSe crystal (GGA-PBE, Alexandria).

Lattice parameters (Å, degrees): 6.2393 6.2393 6.2393 90.00 90.00 90.00
Last column: nearest neighbours and their distance in Å.
Sites, in units of the cell vectors:
Ba1 0.5000 0.0000 0.0000  2 La 3.12
Se1 0.5000 0.5000 0.5000  12 Ba 4.41
Ba2 0.0000 0.5000 0.0000  2 La 3.12
La1 0.0000 0.0000 0.0000  6 Ba 3.12
Ba3 0.0000 0.0000 0.5000  2 La 3.12

Properties
Total magnetization = 0.61 μB/cell
Formation energy without anion corrections = 335 meV per atom
Calculated volume = 48.58 A^3/atom
Energy relative to the lowest polymorph listed for this composition = 831 meV per atom

# Ba3LaSe4

A relaxed Ba3LaSe4 crystal (GGA-PBE, Alexandria).

Lattice parameters (Å, degrees): 4.5824 7.9818 7.9818 109.20 90.00 90.00
Last column: nearest neighbours and their distance in Å.
Sites, in units of the cell vectors:
Ba1 0.0000 0.5000 0.0000  6 Se 3.26
Ba2 0.0000 0.0000 0.5000  6 Se 3.26
Ba3 0.5000 0.5000 0.5000  6 Se 3.38-3.40
Se1 0.0000 0.7691 0.7691  2 La 3.13, 4 Ba 3.26-3.38
Se2 0.5000 0.2384 0.7616  1 La 3.10, 5 Ba 3.26-3.40
Se3 0.0000 0.2309 0.2309  2 La 3.13, 4 Ba 3.26-3.38
Se4 0.5000 0.7616 0.2384  1 La 3.10, 5 Ba 3.26-3.40
La1 0.5000 0.0000 0.0000  6 Se 3.10-3.13

Properties
Total magnetization = 0.00 μB/cell
Formation energy without anion corrections = -2002 meV per atom
Calculated volume = 34.46 A^3/atom

# Ba2LaSe

A relaxed Ba2LaSe crystal (GGA-PBE, Alexandria).

Lattice parameters (Å, degrees): 10.4159 10.4159 10.4159 156.97 155.86 33.61
Last column: nearest neighbours and their distance in Å.
Sites, in units of the cell vectors:
Se1 0.2500 0.7500 0.5000  4 La 3.01
Ba1 0.4136 0.4136 0.0000  2 Se 3.87, 2 La 3.92, 2 Ba 4.16
La1 0.7500 0.2500 0.5000  4 Se 3.01
Ba2 0.0864 0.0864 0.0000  2 Se 3.87, 2 La 3.92, 2 Ba 4.16

Properties
Total magnetization = 0.00 μB/cell
Formation energy without anion corrections = -775 meV per atom
Calculated volume = 45.16 A^3/atom

# Ba3LaSe

A relaxed Ba3LaSe crystal (GGA-PBE, Alexandria).

Lattice parameters (Å, degrees): 6.3734 6.3734 6.3734 90.00 90.00 90.00
Last column: nearest neighbours and their distance in Å.
Sites, in units of the cell vectors:
Ba1 0.5000 0.0000 0.0000  2 Se 3.19
Ba2 0.0000 0.5000 0.0000  2 Se 3.19
Se1 0.0000 0.0000 0.0000  6 Ba 3.19
Ba3 0.0000 0.0000 0.5000  2 Se 3.19
La1 0.5000 0.5000 0.5000  12 Ba 4.51

Properties
Total magnetization = 1.96 μB/cell
Formation energy without anion corrections = -496 meV per atom
Calculated volume = 51.78 A^3/atom
Energy relative to the lowest polymorph listed for this composition = 0 meV per atom

# Ba2LaSe

A relaxed Ba2LaSe crystal (GGA-PBE, Alexandria).

Lattice parameters (Å, degrees): 4.3174 7.9171 7.9246 44.00 90.00 90.00
Last column: nearest neighbours and their distance in Å.
Sites, in units of the cell vectors:
Se1 0.5000 0.7500 0.7500  2 La 2.97, 4 Ba 3.21
Ba1 0.0000 0.5880 0.5882  2 Se 3.21
Ba2 0.0000 0.9120 0.9118  2 Se 3.21
La1 0.5000 0.2500 0.2500  2 Se 2.97

Properties
Total magnetization = 0.03 μB/cell
Formation energy without anion corrections = -728 meV per atom
Calculated volume = 47.04 A^3/atom